No. 1
This record from OQMD via LeMat-Bulk describes a geometry-optimized Tb3HfC2S2 structure. The functional is GGA-PBE.

Results
DFT total energy = -7.56 eV per atom

abc: 3.618 3.618 12.815
angles: 90.00 90.00 120.00
Sites, in units of the cell vectors:
Tb  0.000  0.000  0.609
C  0.667  0.333  0.504
S  0.333  0.667  0.765
Tb  0.333  0.667  0.099
Tb  0.333  0.667  0.396
S  0.000  0.000  0.245
Hf  0.000  0.000  0.898
C  0.667  0.333  0.983



No. 2
This record from OQMD via LeMat-Bulk describes a geometry-optimized CoReBW structure. The functional is GGA-PBE.

Results
ΔE to the lowest computed polymorph = 0.0 meV/atom

abc: 4.137 4.137 4.137
angles: 60.00 60.00 60.00
Sites, in units of the cell vectors:
Co  0.750  0.750  0.750
B  0.000  0.000  0.000
W  0.500  0.500  0.500
Re  0.250  0.250  0.250



No. 3
This record from OQMD via LeMat-Bulk describes a geometry-optimized Cu2SnGeAs4 structure. The functional is GGA-PBE.

Results
DFT total energy = -4.34 eV per atom

abc: 6.965 6.965 6.965
angles: 131.30 131.30 71.33
Sites, in units of the cell vectors:
Ge  0.000  0.000  0.000
Cu  0.500  0.500  0.000
As  0.602  0.117  0.956
As  0.354  0.398  0.515
As  0.883  0.839  0.485
Sn  0.750  0.250  0.500
Cu  0.250  0.750  0.500
As  0.161  0.646  0.044



No. 4
This record from OQMD via LeMat-Bulk describes a geometry-optimized NiAsPd structure. The functional is GGA-PBE.

Results
DFT total energy = -5.32 eV per atom

abc: 5.853 3.936 7.590
angles: 90.00 90.00 90.00
Sites, in units of the cell vectors:
Ni  0.470  0.250  0.171
Pd  0.651  0.750  0.438
As  0.710  0.750  0.117
As  0.790  0.250  0.617
Ni  0.970  0.250  0.329
As  0.290  0.250  0.883
As  0.210  0.750  0.383
Pd  0.849  0.250  0.938
Ni  0.530  0.750  0.829
Ni  0.030  0.750  0.671
Pd  0.349  0.250  0.562
Pd  0.151  0.750  0.062



No. 5
This record from OQMD via LeMat-Bulk describes a geometry-optimized NaCuPbSe2S structure. The functional is GGA-PBE.

Results
DFT total energy = -3.68 eV per atom

abc: 6.647 6.647 10.761
angles: 90.00 90.00 146.21
Sites, in units of the cell vectors:
Se  0.662  0.338  0.072
S  0.064  0.936  0.750
Na  0.265  0.735  0.250
Cu  0.463  0.537  0.750
Pb  0.000  0.000  0.500
Se  0.662  0.338  0.428
Se  0.338  0.662  0.572
Cu  0.537  0.463  0.250
S  0.936  0.064  0.250
Se  0.338  0.662  0.928
Na  0.735  0.265  0.750
Pb  0.000  0.000  0.000



No. 6
This record from OQMD via LeMat-Bulk describes a geometry-optimized BaCuTeIr structure. The functional is GGA-PBE.

Results
ΔE to the lowest computed polymorph = 0.0 meV/atom

abc: 5.042 5.042 5.042
angles: 60.00 60.00 60.00
Sites, in units of the cell vectors:
Ir  0.250  0.250  0.250
Cu  0.750  0.750  0.750
Ba  0.000  0.000  0.000
Te  0.500  0.500  0.500



No. 7
This record from OQMD via LeMat-Bulk describes a geometry-optimized NdPAuO structure. The functional is GGA-PBE.

Results
ΔE to the lowest computed polymorph = 554.4 meV/atom

abc: 5.958 5.958 4.620
angles: 90.00 90.00 90.00
Sites, in units of the cell vectors:
O  0.000  0.000  0.000
P  0.000  0.500  0.506
P  0.500  0.000  0.494
Nd  0.500  0.500  0.500
Au  0.000  0.500  0.006
O  0.500  0.500  0.000
Au  0.500  0.000  0.994
Nd  0.000  0.000  0.500



No. 8
This record from OQMD via LeMat-Bulk describes a geometry-optimized BaBiAu structure. The functional is GGA-PBE.

Results
DFT total energy = -3.37 eV per atom

abc: 5.726 5.722 6.966
angles: 90.00 90.00 120.02
Sites, in units of the cell vectors:
Ba  0.333  0.667  0.250
Au  0.000  0.000  0.500
Bi  0.667  0.334  0.250
Bi  0.333  0.666  0.750
Ba  0.667  0.333  0.750
Au  0.000  0.000  0.000



No. 9
This record from OQMD via LeMat-Bulk describes a geometry-optimized PrNdAl4Cu2 structure. The functional is GGA-PBE.

Results
DFT total energy = -4.40 eV per atom

abc: 6.967 5.905 5.905
angles: 40.74 90.00 90.00
Sites, in units of the cell vectors:
Al  0.807  0.834  0.834
Nd  0.000  0.554  0.554
Al  0.193  0.834  0.834
Pr  0.500  0.446  0.446
Al  0.307  0.165  0.165
Cu  0.000  0.280  0.280
Cu  0.500  0.720  0.720
Al  0.693  0.165  0.165



No. 10
This record from OQMD via LeMat-Bulk describes a geometry-optimized CdCoB4 structure. The functional is GGA-PBE.

Results
ΔE to the lowest computed polymorph = 0.0 meV/atom

abc: 3.034 3.034 7.179
angles: 90.00 90.00 120.00
Sites, in units of the cell vectors:
B  0.667  0.333  0.307
Co  0.000  0.000  0.500
Cd  0.000  0.000  0.000
B  0.667  0.333  0.693
B  0.333  0.667  0.307
B  0.333  0.667  0.693



No. 11
This record from OQMD via LeMat-Bulk describes a geometry-optimized YMgFeGe structure. The functional is GGA-PBE.

Results
ΔE to the lowest computed polymorph = 49.5 meV/atom

abc: 4.608 4.608 4.608
angles: 60.00 60.00 60.00
Sites, in units of the cell vectors:
Fe  0.750  0.750  0.750
Y  0.500  0.500  0.500
Mg  0.250  0.250  0.250
Ge  0.000  0.000  0.000



No. 12
This record from OQMD via LeMat-Bulk describes a geometry-optimized ZrAl structure. The functional is GGA-PBE.

Results
DFT total energy = -6.36 eV per atom

abc: 5.104 12.293 5.008
angles: 90.00 90.00 90.00
Sites, in units of the cell vectors:
Al  0.975  0.256  0.000
Zr  0.871  0.125  0.500
Al  0.975  0.494  0.000
Al  0.359  0.994  0.500
Zr  0.463  0.625  0.000
Al  0.872  0.375  0.500
Zr  0.463  0.125  0.000
Al  0.359  0.756  0.500
Zr  0.871  0.625  0.500
Zr  0.955  0.759  0.000
Zr  0.955  0.991  0.000
Zr  0.378  0.259  0.500
Al  0.493  0.375  0.000
Al  0.462  0.875  0.000
Zr  0.378  0.491  0.500
Al  0.840  0.875  0.500



No. 13
This record from OQMD via LeMat-Bulk describes a geometry-optimized TbNbCu structure. The functional is GGA-PBE.

Results
ΔE to the lowest computed polymorph = 0.0 meV/atom
Formation energy from the elements = 555 meV per atom

abc: 4.536 4.536 4.536
angles: 60.00 60.00 60.00
Sites, in units of the cell vectors:
Tb  0.750  0.750  0.750
Cu  0.000  0.000  0.000
Nb  0.250  0.250  0.250



No. 14
This record from OQMD via LeMat-Bulk describes a geometry-optimized InMo3S5 structure. The functional is GGA-PBE.

Results
DFT total energy = -6.43 eV per atom

abc: 5.641 5.641 7.071
angles: 90.00 90.00 120.00
Sites, in units of the cell vectors:
Mo  0.500  0.500  0.500
S  0.667  0.333  0.758
In  0.000  0.000  0.000
S  0.667  0.333  0.242
S  0.333  0.667  0.758
Mo  0.000  0.500  0.500
S  0.000  0.000  0.500
S  0.333  0.667  0.242
Mo  0.500  0.000  0.500



No. 15
This record from OQMD via LeMat-Bulk describes a geometry-optimized Lu2ScSi structure. The functional is GGA-PBE.

Results
DFT total energy = -5.25 eV per atom

abc: 4.999 4.999 4.999
angles: 60.00 60.00 60.00
Sites, in units of the cell vectors:
Sc  0.250  0.250  0.250
Si  0.500  0.500  0.500
Lu  0.000  0.000  0.000
Lu  0.750  0.750  0.750



No. 16
This record from OQMD via LeMat-Bulk describes a geometry-optimized CdFe2Cu structure. The functional is GGA-PBE.

Results
Formation energy from the elements = 297 meV per atom

abc: 4.274 4.274 4.274
angles: 60.00 60.00 60.00
Sites, in units of the cell vectors:
Fe  0.750  0.750  0.750
Fe  0.500  0.500  0.500
Cd  0.250  0.250  0.250
Cu  0.000  0.000  0.000



No. 17
This record from OQMD via LeMat-Bulk describes a geometry-optimized PmCdNi structure. The functional is GGA-PBE.

Results
ΔE to the lowest computed polymorph = 0.0 meV/atom
Formation energy from the elements = -216 meV per atom

abc: 4.605 4.605 4.605
angles: 60.00 60.00 60.00
Sites, in units of the cell vectors:
Ni  0.000  0.000  0.000
Pm  0.750  0.750  0.750
Cd  0.250  0.250  0.250



No. 18
This record from OQMD via LeMat-Bulk describes a geometry-optimized K2NaTcF6 structure. The functional is GGA-PBE.

Results
ΔE to the lowest computed polymorph = 40.0 meV/atom

abc: 10.461 10.461 10.461
angles: 32.34 32.34 32.34
Sites, in units of the cell vectors:
F  0.126  0.629  0.629
F  0.371  0.371  0.874
F  0.274  0.802  0.802
F  0.198  0.198  0.726
F  0.802  0.274  0.802
K  0.870  0.870  0.870
F  0.629  0.629  0.126
F  0.198  0.726  0.198
K  0.130  0.130  0.130
K  0.280  0.280  0.280
F  0.371  0.874  0.371
Tc  0.500  0.500  0.500
F  0.802  0.802  0.274
F  0.629  0.126  0.629
K  0.720  0.720  0.720
Na  0.590  0.590  0.590
F  0.874  0.371  0.371
Tc  0.000  0.000  0.000
Na  0.410  0.410  0.410
F  0.726  0.198  0.198



No. 19
This record from OQMD via LeMat-Bulk describes a geometry-optimized Cu2Se structure. The functional is GGA-PBE.

Results
DFT total energy = -3.52 eV per atom

abc: 7.345 7.345 7.345
angles: 60.00 60.00 60.00
Sites, in units of the cell vectors:
Se  0.250  0.250  0.250
Cu  0.875  0.375  0.375
Se  0.500  0.500  0.500
Cu  0.375  0.375  0.375
Cu  0.375  0.875  0.375
Cu  0.375  0.375  0.875



No. 20
This record from OQMD via LeMat-Bulk describes a geometry-optimized La2Sm2BCl5 structure. The functional is GGA-PBE.

Results
DFT total energy = -5.20 eV per atom

abc: 9.227 9.227 8.038
angles: 104.57 104.57 24.92
Sites, in units of the cell vectors:
Sm  0.999  0.999  0.220
Cl  0.500  0.500  0.500
B  0.500  0.500  0.000
Cl  0.834  0.834  0.166
La  0.653  0.653  0.095
Sm  0.001  0.001  0.780
Cl  0.840  0.840  0.643
La  0.347  0.347  0.905
Cl  0.166  0.166  0.834
Cl  0.160  0.160  0.357



No. 21
This record from OQMD via LeMat-Bulk describes a geometry-optimized Cs2PdICl3 structure. The functional is GGA-PBE.

Results
DFT total energy = -3.30 eV per atom

abc: 4.815 7.705 7.705
angles: 97.14 90.00 90.00
Sites, in units of the cell vectors:
I  0.000  0.745  0.745
Cs  0.500  0.484  0.032
Pd  0.000  0.001  0.001
Cl  0.000  0.205  0.799
Cl  0.000  0.234  0.234
Cs  0.500  0.032  0.484
Cl  0.000  0.799  0.205



No. 22
This record from OQMD via LeMat-Bulk describes a geometry-optimized LaNi2GeP structure. The functional is GGA-PBE.

Results
DFT total energy = -6.12 eV per atom

abc: 4.091 4.091 9.700
angles: 90.00 90.00 90.00
Sites, in units of the cell vectors:
Ge  0.000  0.000  0.000
P  0.000  0.500  0.624
Ni  0.500  0.500  0.500
La  0.500  0.000  0.740
Ge  0.500  0.500  0.000
Ni  0.500  0.000  0.137
P  0.500  0.000  0.376
La  0.000  0.500  0.260
Ni  0.000  0.500  0.863
Ni  0.000  0.000  0.500



No. 23
This record from OQMD via LeMat-Bulk describes a geometry-optimized AsPdNO structure. The functional is GGA-PBE.

Results
ΔE to the lowest computed polymorph = 421.3 meV/atom

abc: 4.521 4.521 4.493
angles: 90.00 90.00 90.00
Sites, in units of the cell vectors:
N  0.000  0.500  0.506
As  0.500  0.500  0.500
Pd  0.000  0.500  0.004
N  0.500  0.000  0.494
O  0.000  0.000  0.000
O  0.500  0.500  0.000
Pd  0.500  0.000  0.996
As  0.000  0.000  0.500



No. 24
This record from OQMD via LeMat-Bulk describes a geometry-optimized Ba2SnHg structure. The functional is GGA-PBE.

Results
ΔE to the lowest computed polymorph = 76.0 meV/atom

abc: 4.167 4.167 8.626
angles: 90.00 90.00 90.00
Sites, in units of the cell vectors:
Hg  0.000  0.000  0.000
Ba  0.500  0.500  0.251
Sn  0.000  0.000  0.500
Ba  0.500  0.500  0.749



No. 25
This record from OQMD via LeMat-Bulk describes a geometry-optimized SrSm2Sc2O7 structure. The functional is GGA-PBE.

Results
DFT total energy = -8.17 eV per atom

abc: 4.018 4.018 10.528
angles: 101.00 101.00 90.00
Sites, in units of the cell vectors:
O  0.000  0.000  0.000
Sm  0.317  0.317  0.635
Sc  0.899  0.899  0.799
O  0.111  0.611  0.222
O  0.790  0.790  0.581
Sr  0.500  0.500  0.000
O  0.210  0.210  0.419
Sm  0.683  0.683  0.365
Sc  0.101  0.101  0.201
O  0.389  0.889  0.778
O  0.611  0.111  0.222
O  0.889  0.389  0.778